Entry 1:
PBE Nd2SmInC, relaxed; DOS(E_F) = 2.0 states/eV/f.u.; spin magnetization = 0.0 μB per formula unit; formation enthalpy at 0 K = -0.341 eV per atom; SG = P4/mmm; DFT total energy = -5.584 eV/atom
1.0
5.062 0.000 0.000
0.000 5.130 0.000
0.000 0.000 5.130
Sm In Nd C
1 1 2 1
Cartesian
2.531 0.000 0.000 Sm
2.531 2.565 2.565 In
0.000 0.000 2.565 Nd
0.000 2.565 0.000 Nd
0.000 0.000 0.000 C

Entry 2:
PBE NdTh2InC, relaxed; DOS(E_F) = 2.2 states/eV/f.u.; spin magnetization = 0.0 μB per formula unit; formation enthalpy at 0 K = -0.322 eV per atom; SG = P4/mmm; DFT total energy = -6.636 eV/atom
1.0
5.192 0.000 0.000
0.000 5.064 0.000
0.000 0.000 5.064
In Th Nd C
1 2 1 1
Cartesian
2.596 2.532 2.532 In
0.000 0.000 2.532 Th
0.000 2.532 0.000 Th
2.596 0.000 0.000 Nd
0.000 0.000 0.000 C

Entry 3:
PBE NdTm2InC, relaxed; DOS(E_F) = 1.5 states/eV/f.u.; spin magnetization = 0.0 μB per formula unit; formation enthalpy at 0 K = -0.454 eV per atom; SG = P4/mmm; DFT total energy = -5.589 eV/atom
1.0
-4.254 1.621 2.355
-2.397 -3.893 -1.651
1.267 -2.472 3.989
Nd C Tm In
1 1 2 1
Cartesian
-2.127 0.810 1.178 Nd
0.000 0.000 0.000 C
-1.199 -1.947 -0.825 Tm
0.634 -1.236 1.995 Tm
-2.692 -2.372 2.347 In

Entry 4:
PBE InNiC3, relaxed; DOS(E_F) = 4.8 states/eV/f.u.; spin magnetization = 0.0 μB per formula unit; formation enthalpy at 0 K = 2.187 eV per atom; SG = Pm-3m; DFT total energy = -5.051 eV/atom
1.0
3.882 0.000 0.000
0.000 3.882 0.000
0.000 0.000 3.882
C Ni In
3 1 1
Cartesian
0.000 0.000 1.941 C
1.941 0.000 0.000 C
0.000 1.941 0.000 C
0.000 0.000 0.000 Ni
1.941 1.941 1.941 In

Entry 5:
PBE In2NiC, relaxed; DOS(E_F) = 0.7 states/eV/f.u.; spin magnetization = 0.0 μB per formula unit; formation enthalpy at 0 K = 0.982 eV per atom; SG = I-42d; DFT total energy = -4.138 eV/atom
1.0
6.180 0.000 0.000
0.000 6.180 0.000
3.090 3.090 3.910
In C Ni
4 2 2
Cartesian
7.725 7.421 2.932 In
4.331 1.545 0.977 In
1.849 4.635 0.977 In
4.635 4.939 2.932 In
3.090 3.090 0.000 C
3.090 6.180 1.955 C
6.180 3.090 1.955 Ni
0.000 0.000 0.000 Ni

Entry 6:
PBE InNiC3, relaxed; DOS(E_F) = 5.3 states/eV/f.u.; spin magnetization = 0.0 μB per formula unit; formation enthalpy at 0 K = 3.424 eV per atom; SG = Pm-3m; DFT total energy = -3.814 eV/atom
1.0
4.264 0.000 0.000
0.000 4.264 0.000
0.000 0.000 4.264
C In Ni
3 1 1
Cartesian
0.000 0.000 2.132 C
2.132 0.000 0.000 C
0.000 2.132 0.000 C
0.000 0.000 0.000 In
2.132 2.132 2.132 Ni

Entry 7:
PBE In3NiC, relaxed; DOS(E_F) = 2.7 states/eV/f.u.; spin magnetization = 2.4 μB per formula unit; formation enthalpy at 0 K = 1.155 eV per atom; SG = Pm-3m; DFT total energy = -3.489 eV/atom
1.0
4.898 0.000 0.000
0.000 4.898 0.000
0.000 0.000 4.898
C In Ni
1 3 1
Cartesian
2.449 2.449 2.449 C
2.449 0.000 0.000 In
0.000 0.000 2.449 In
0.000 2.449 0.000 In
0.000 0.000 0.000 Ni

Entry 8:
PBE In3Ni9C2, relaxed; DOS(E_F) = 9.1 states/eV/f.u.; spin magnetization = 0.0 μB per formula unit; formation enthalpy at 0 K = -0.041 eV per atom; SG = P6_3/mmc; DFT total energy = -5.663 eV/atom
1.0
-4.531 2.385 -1.811
-0.182 -3.202 4.383
2.411 10.458 7.741
In C Ni
6 4 18
Cartesian
0.603 2.614 1.935 In
-1.664 6.670 4.804 In
-0.638 2.971 5.509 In
-0.882 10.062 7.315 In
1.808 7.843 5.806 In
-1.420 -0.422 2.998 In
-0.058 5.486 7.370 C
-2.713 2.119 1.436 C
-2.244 4.155 2.942 C
0.411 7.522 8.877 C
-3.628 2.301 -0.183 Ni
1.633 6.257 8.004 Ni
-3.934 3.384 2.309 Ni
-0.498 4.655 3.380 Ni
0.596 5.402 5.623 Ni
1.419 8.970 8.264 Ni
-2.898 4.239 4.690 Ni
-1.803 4.986 6.932 Ni
-1.321 1.087 0.739 Ni
-1.793 2.257 3.165 Ni
-0.594 5.871 9.219 Ni
0.503 3.771 7.854 Ni
-0.508 7.384 7.148 Ni
-1.707 3.770 1.093 Ni
-3.720 0.671 2.049 Ni
-2.805 5.869 2.458 Ni
1.326 7.340 10.496 Ni
-0.981 8.554 9.574 Ni

Entry 9:
PBE In3NiC, relaxed; DOS(E_F) = 3.3 states/eV/f.u.; spin magnetization = 0.0 μB per formula unit; formation enthalpy at 0 K = 1.011 eV per atom; SG = Pm-3m; DFT total energy = -3.633 eV/atom
1.0
4.631 0.000 0.000
0.000 4.631 0.000
0.000 0.000 4.631
In Ni C
3 1 1
Cartesian
0.000 2.316 0.000 In
2.316 0.000 0.000 In
0.000 0.000 2.316 In
2.316 2.316 2.316 Ni
0.000 0.000 0.000 C